Record 1
A relaxed structure of TcOs2Br. Source: Alexandria via LeMat-Bulk, functional PBE-GGA.

Properties
- V: 17.2 Å³ per atom
- Total DFT energy (no corrections): -30.9 eV/cell
- Energy relative to the lowest polymorph listed for this composition: 0.204 eV per atom
- M_tot: 0.00 μB per cell

```
data_TcOs2Br
_cell_length_a 2.8267
_cell_length_b 3.5750
_cell_length_c 6.8175
_cell_angle_alpha 90.00
_cell_angle_beta 90.00
_cell_angle_gamma 90.00
_symmetry_space_group_name_H-M 'P 1'
_symmetry_Int_Tables_number 1
loop_
_symmetry_equiv_pos_as_xyz
'x,y,z'
loop_
_atom_site_label
_atom_site_type_symbol
_atom_site_fract_x
_atom_site_fract_y
_atom_site_fract_z
Tc1 Tc 0.0000 0.0000 0.0000
Os1 Os 0.0000 0.0000 0.6061
Os2 Os 0.5000 0.5000 0.7912
Br1 Br 0.5000 0.5000 0.2709
```

=====

Record 2
A relaxed structure of ScSn2Pd8. Source: Alexandria via LeMat-Bulk, functional PBE-GGA.

Properties
- ΔE_f: -604.2 kJ/mol of formula units
- V: 16.7 Å³ per atom
- Total DFT energy (no corrections): -62.1 eV/cell
- Energy relative to the lowest polymorph listed for this composition: 0.033 eV per atom
- M_tot: 0.00 μB per cell

```
data_ScSn2Pd8
_cell_length_a 7.5142
_cell_length_b 7.5142
_cell_length_c 6.5399
_cell_angle_alpha 109.42
_cell_angle_beta 109.42
_cell_angle_gamma 32.11
_symmetry_space_group_name_H-M 'P 1'
_symmetry_Int_Tables_number 1
loop_
_symmetry_equiv_pos_as_xyz
'x,y,z'
loop_
_atom_site_label
_atom_site_type_symbol
_atom_site_fract_x
_atom_site_fract_y
_atom_site_fract_z
Sc1 Sc 0.0000 0.0000 0.0000
Sn1 Sn 0.2875 0.2875 0.3372
Sn2 Sn 0.7125 0.7125 0.6628
Pd1 Pd 0.0953 0.0953 0.4548
Pd2 Pd 0.1753 0.1753 0.9189
Pd3 Pd 0.3544 0.3544 0.7976
Pd4 Pd 0.4633 0.4633 0.2701
Pd5 Pd 0.5367 0.5367 0.7299
Pd6 Pd 0.6456 0.6456 0.2024
Pd7 Pd 0.8247 0.8247 0.0811
Pd8 Pd 0.9047 0.9047 0.5452
```

=====

Record 3
A relaxed structure of NbGeN3. Source: Alexandria via LeMat-Bulk, functional PBE-GGA.

Properties
- V: 13.6 Å³ per atom
- Total DFT energy (no corrections): -36.4 eV/cell
- M_tot: 1.06 μB per cell

```
data_NbGeN3
_cell_length_a 4.0848
_cell_length_b 4.0848
_cell_length_c 4.0848
_cell_angle_alpha 90.00
_cell_angle_beta 90.00
_cell_angle_gamma 90.00
_symmetry_space_group_name_H-M 'P 1'
_symmetry_Int_Tables_number 1
loop_
_symmetry_equiv_pos_as_xyz
'x,y,z'
loop_
_atom_site_label
_atom_site_type_symbol
_atom_site_fract_x
_atom_site_fract_y
_atom_site_fract_z
Nb1 Nb 0.0000 0.0000 0.0000
Ge1 Ge 0.5000 0.5000 0.5000
N1 N 0.0000 0.0000 0.5000
N2 N 0.0000 0.5000 0.0000
N3 N 0.5000 0.0000 0.0000
```

=====

Record 4
A relaxed structure of RbLiFe2Cl8. Source: Alexandria via LeMat-Bulk, functional PBE-GGA.

Properties
- V: 31.0 Å³ per atom
- Total DFT energy (no corrections): -48.7 eV/cell
- M_tot: 10.00 μB per cell

```
data_RbLiFe2Cl8
_cell_length_a 6.4938
_cell_length_b 6.4938
_cell_length_c 9.6115
_cell_angle_alpha 95.54
_cell_angle_beta 95.54
_cell_angle_gamma 67.66
_symmetry_space_group_name_H-M 'P 1'
_symmetry_Int_Tables_number 1
loop_
_symmetry_equiv_pos_as_xyz
'x,y,z'
loop_
_atom_site_label
_atom_site_type_symbol
_atom_site_fract_x
_atom_site_fract_y
_atom_site_fract_z
Rb1 Rb 0.0000 0.0000 0.0000
Li1 Li 0.0000 0.0000 0.5000
Fe1 Fe 0.3839 0.3839 0.7097
Fe2 Fe 0.6161 0.6161 0.2903
Cl1 Cl 0.2407 0.2407 0.5281
Cl2 Cl 0.2462 0.7445 0.2982
Cl3 Cl 0.2555 0.7538 0.7018
Cl4 Cl 0.3089 0.3089 0.9136
Cl5 Cl 0.6911 0.6911 0.0864
Cl6 Cl 0.7445 0.2462 0.2982
Cl7 Cl 0.7538 0.2555 0.7018
Cl8 Cl 0.7593 0.7593 0.4719
```

=====

Record 5
A relaxed structure of Cs2K. Source: Alexandria via LeMat-Bulk, functional PBE-GGA.

Properties
- ΔE_f: 4.9 kJ/mol of formula units
- V: 100.5 Å³ per atom
- Total DFT energy (no corrections): -5.5 eV/cell
- Energy relative to the lowest polymorph listed for this composition: 0.012 eV per atom
- M_tot: 0.00 μB per cell

```
data_Cs2K
_cell_length_a 5.2094
_cell_length_b 5.2094
_cell_length_c 25.1789
_cell_angle_alpha 90.08
_cell_angle_beta 90.08
_cell_angle_gamma 118.09
_symmetry_space_group_name_H-M 'P 1'
_symmetry_Int_Tables_number 1
loop_
_symmetry_equiv_pos_as_xyz
'x,y,z'
loop_
_atom_site_label
_atom_site_type_symbol
_atom_site_fract_x
_atom_site_fract_y
_atom_site_fract_z
Cs1 Cs 0.1841 0.8153 0.5903
Cs2 Cs 0.1847 0.8159 0.9097
Cs3 Cs 0.8153 0.1841 0.0903
Cs4 Cs 0.8159 0.1847 0.4097
K1 K 0.4586 0.5414 0.2500
K2 K 0.5414 0.4586 0.7500
```

=====

Record 6
A relaxed structure of ThMgScAg. Source: Alexandria via LeMat-Bulk, functional PBE-GGA.

Properties
- ΔE_f: 5.7 kJ/mol of formula units
- V: 24.8 Å³ per atom
- Total DFT energy (no corrections): -18.1 eV/cell
- M_tot: 0.73 μB per cell

```
data_ThMgScAg
_cell_length_a 5.1940
_cell_length_b 5.1940
_cell_length_c 5.1940
_cell_angle_alpha 60.00
_cell_angle_beta 60.00
_cell_angle_gamma 60.00
_symmetry_space_group_name_H-M 'P 1'
_symmetry_Int_Tables_number 1
loop_
_symmetry_equiv_pos_as_xyz
'x,y,z'
loop_
_atom_site_label
_atom_site_type_symbol
_atom_site_fract_x
_atom_site_fract_y
_atom_site_fract_z
Th1 Th 0.0000 0.0000 0.0000
Mg1 Mg 0.2500 0.2500 0.2500
Sc1 Sc 0.5000 0.5000 0.5000
Ag1 Ag 0.7500 0.7500 0.7500
```

=====

Record 7
A relaxed structure of Rb3PH. Source: Alexandria via LeMat-Bulk, functional PBE-GGA.

Properties
- V: 33.7 Å³ per atom
- Total DFT energy (no corrections): -11.8 eV/cell
- Energy relative to the lowest polymorph listed for this composition: 0.115 eV per atom
- M_tot: 1.00 μB per cell

```
data_Rb3PH
_cell_length_a 5.5247
_cell_length_b 5.5247
_cell_length_c 5.5247
_cell_angle_alpha 90.00
_cell_angle_beta 90.00
_cell_angle_gamma 90.00
_symmetry_space_group_name_H-M 'P 1'
_symmetry_Int_Tables_number 1
loop_
_symmetry_equiv_pos_as_xyz
'x,y,z'
loop_
_atom_site_label
_atom_site_type_symbol
_atom_site_fract_x
_atom_site_fract_y
_atom_site_fract_z
Rb1 Rb 0.0000 0.0000 0.5000
Rb2 Rb 0.0000 0.5000 0.0000
Rb3 Rb 0.5000 0.0000 0.0000
P1 P 0.5000 0.5000 0.5000
H1 H 0.0000 0.0000 0.0000
```

=====

Record 8
A relaxed structure of YBe2Si. Source: Alexandria via LeMat-Bulk, functional PBE-GGA.

Properties
- V: 16.9 Å³ per atom
- Total DFT energy (no corrections): -39.5 eV/cell
- M_tot: 0.00 μB per cell

```
data_YBe2Si
_cell_length_a 8.1136
_cell_length_b 8.1136
_cell_length_c 8.1136
_cell_angle_alpha 149.73
_cell_angle_beta 149.73
_cell_angle_gamma 43.34
_symmetry_space_group_name_H-M 'P 1'
_symmetry_Int_Tables_number 1
loop_
_symmetry_equiv_pos_as_xyz
'x,y,z'
loop_
_atom_site_label
_atom_site_type_symbol
_atom_site_fract_x
_atom_site_fract_y
_atom_site_fract_z
Y1 Y 0.3750 0.6250 0.7500
Y2 Y 0.6250 0.3750 0.2500
Be1 Be 0.0000 0.0000 0.0000
Be2 Be 0.0000 0.0000 0.5000
Be3 Be 0.0000 0.5000 0.0000
Be4 Be 0.5000 0.0000 0.5000
Si1 Si 0.1250 0.8750 0.2500
Si2 Si 0.8750 0.1250 0.7500
```

=====

Record 9
A relaxed structure of Ta2HgPb. Source: Alexandria via LeMat-Bulk, functional PBE-GGA.

Properties
- ΔE_f: 289.5 kJ/mol of formula units
- V: 20.2 Å³ per atom
- Total DFT energy (no corrections): -24.7 eV/cell
- Energy relative to the lowest polymorph listed for this composition: 0.427 eV per atom
- M_tot: 0.00 μB per cell

```
data_Ta2HgPb
_cell_length_a 4.8522
_cell_length_b 4.8522
_cell_length_c 4.8522
_cell_angle_alpha 60.00
_cell_angle_beta 60.00
_cell_angle_gamma 60.00
_symmetry_space_group_name_H-M 'P 1'
_symmetry_Int_Tables_number 1
loop_
_symmetry_equiv_pos_as_xyz
'x,y,z'
loop_
_atom_site_label
_atom_site_type_symbol
_atom_site_fract_x
_atom_site_fract_y
_atom_site_fract_z
Ta1 Ta 0.2500 0.2500 0.2500
Ta2 Ta 0.7500 0.7500 0.7500
Hg1 Hg 0.0000 0.0000 0.0000
Pb1 Pb 0.5000 0.5000 0.5000
```

=====

Record 10
A relaxed structure of Mg2ZrAg2. Source: Alexandria via LeMat-Bulk, functional PBE-GGA.

Properties
- ΔE_f: 42.6 kJ/mol of formula units
- V: 20.6 Å³ per atom
- Total DFT energy (no corrections): -17.0 eV/cell
- Energy relative to the lowest polymorph listed for this composition: 0.138 eV per atom
- M_tot: 0.31 μB per cell

```
data_Mg2ZrAg2
_cell_length_a 7.0302
_cell_length_b 7.0302
_cell_length_c 7.0302
_cell_angle_alpha 146.90
_cell_angle_beta 146.90
_cell_angle_gamma 47.51
_symmetry_space_group_name_H-M 'P 1'
_symmetry_Int_Tables_number 1
loop_
_symmetry_equiv_pos_as_xyz
'x,y,z'
loop_
_atom_site_label
_atom_site_type_symbol
_atom_site_fract_x
_atom_site_fract_y
_atom_site_fract_z
Mg1 Mg 0.2500 0.7500 0.5000
Mg2 Mg 0.7500 0.2500 0.5000
Zr1 Zr 0.0000 0.0000 0.0000
Ag1 Ag 0.3970 0.3970 0.0000
Ag2 Ag 0.6030 0.6030 0.0000
```

=====

Record 11
A relaxed structure of Ta5Mo2. Source: Alexandria via LeMat-Bulk, functional PBE-GGA.

Properties
- ΔE_f: -30.4 kJ/mol of formula units
- V: 17.5 Å³ per atom
- Total DFT energy (no corrections): -81.2 eV/cell
- Energy relative to the lowest polymorph listed for this composition: 0.094 eV per atom
- M_tot: 0.00 μB per cell

```
data_Ta5Mo2
_cell_length_a 16.2931
_cell_length_b 16.2062
_cell_length_c 2.8487
_cell_angle_alpha 86.71
_cell_angle_beta 83.23
_cell_angle_gamma 10.05
_symmetry_space_group_name_H-M 'P 1'
_symmetry_Int_Tables_number 1
loop_
_symmetry_equiv_pos_as_xyz
'x,y,z'
loop_
_atom_site_label
_atom_site_type_symbol
_atom_site_fract_x
_atom_site_fract_y
_atom_site_fract_z
Ta1 Ta 0.0000 0.0000 0.0000
Ta2 Ta 0.1476 0.1476 0.8524
Ta3 Ta 0.4260 0.4260 0.5740
Ta4 Ta 0.5740 0.5740 0.4260
Ta5 Ta 0.8524 0.8524 0.1476
Mo1 Mo 0.2831 0.2831 0.7169
Mo2 Mo 0.7169 0.7169 0.2831
```

=====

Record 12
A relaxed structure of Mn4RuPt3. Source: Alexandria via LeMat-Bulk, functional PBE-GGA.

Properties
- ΔE_f: -168.7 kJ/mol of formula units
- V: 14.5 Å³ per atom
- Total DFT energy (no corrections): -65.8 eV/cell
- M_tot: 1.87 μB per cell

```
data_Mn4RuPt3
_cell_length_a 2.8394
_cell_length_b 2.8394
_cell_length_c 14.4213
_cell_angle_alpha 90.00
_cell_angle_beta 90.00
_cell_angle_gamma 90.00
_symmetry_space_group_name_H-M 'P 1'
_symmetry_Int_Tables_number 1
loop_
_symmetry_equiv_pos_as_xyz
'x,y,z'
loop_
_atom_site_label
_atom_site_type_symbol
_atom_site_fract_x
_atom_site_fract_y
_atom_site_fract_z
Mn1 Mn 0.0000 0.0000 0.1169
Mn2 Mn 0.0000 0.0000 0.3727
Mn3 Mn 0.0000 0.0000 0.6273
Mn4 Mn 0.0000 0.0000 0.8831
Ru1 Ru 0.5000 0.5000 0.0000
Pt1 Pt 0.5000 0.5000 0.2437
Pt2 Pt 0.5000 0.5000 0.5000
Pt3 Pt 0.5000 0.5000 0.7563
```